No. 1
Here is a relaxed Ba2La2In crystal from Alexandria via LeMat-Bulk. Energies are from PBE-GGA.

## Properties
ΔH_f (0 K) = 25.34 kJ per mole of atoms
spin magnetization = 0.0000 μB/atom

Cell: 8.9337 8.9337 5.1118 Å, 90.00 90.00 90.00°
Space group P4/mbm (No. 127)
Unique sites:
Ba (0.1389, 0.3611, 0.0000) [4 per cell]
La (0.1692, 0.6692, 0.5000) [4 per cell]
In (0.0000, 0.0000, 0.0000) [2 per cell]

=====

No. 2
Here is a relaxed BaLi2LaIn crystal from Alexandria via LeMat-Bulk. Energies are from PBE-GGA.

## Properties
ΔH_f (0 K) = 8.15 kJ per mole of atoms
spin magnetization = 0.0007 μB/atom

Cell: 5.4782 5.4782 6.1021 Å, 90.00 90.00 90.00°
Space group P4/mmm (No. 123)
Unique sites:
Ba (0.0000, 0.0000, 0.0000) [1 per cell]
Li (0.0000, 0.5000, 0.5000) [2 per cell]
La (0.5000, 0.5000, 0.0000) [1 per cell]
In (0.5000, 0.5000, 0.5000) [1 per cell]

=====

No. 3
Here is a relaxed BaLi2La2In2 crystal from Alexandria via LeMat-Bulk. Energies are from PBE-GGA.

## Properties
ΔH_f (0 K) = -25.42 kJ per mole of atoms
spin magnetization = 0.0000 μB/atom

Cell: 5.0996 5.0996 29.8579 Å, 90.00 90.00 120.00°
Space group R-3m (No. 166, hexagonal axes)
Unique sites:
Ba (0.0000, 0.0000, 0.0000) [3 per cell]
Li (0.0000, 0.0000, 0.4143) [6 per cell]
La (0.0000, 0.0000, 0.1332) [6 per cell]
In (0.0000, 0.0000, 0.2509) [6 per cell]

=====

No. 4
Here is a relaxed BaLaMg2In2 crystal from Alexandria via LeMat-Bulk. Energies are from PBE-GGA.

## Properties
ΔH_f (0 K) = -36.54 kJ per mole of atoms
spin magnetization = 0.0000 μB/atom

Cell: 5.1533 5.1533 8.4056 Å, 90.00 90.00 120.00°
Space group P-3m1 (No. 164)
Unique sites:
Ba (0.0000, 0.0000, 0.0000) [1 per cell]
La (0.0000, 0.0000, 0.5000) [1 per cell]
Mg (0.3333, 0.6667, 0.6944) [2 per cell]
In (0.3333, 0.6667, 0.2966) [2 per cell]

=====

No. 5
Here is a relaxed BaLa2Mg2In2 crystal from Alexandria via LeMat-Bulk. Energies are from PBE-GGA.

## Properties
ΔH_f (0 K) = -27.01 kJ per mole of atoms
spin magnetization = 0.0000 μB/atom

Cell: 5.1344 5.1344 30.4517 Å, 90.00 90.00 120.00°
Space group R-3m (No. 166, hexagonal axes)
Unique sites:
Ba (0.0000, 0.0000, 0.0000) [3 per cell]
La (0.0000, 0.0000, 0.1351) [6 per cell]
Mg (0.0000, 0.0000, 0.4197) [6 per cell]
In (0.0000, 0.0000, 0.2524) [6 per cell]